1.
The following is a PBE calculation of a geometry-optimized H2Pd4I structure, from the Alexandria database.

Cell lengths 5.166, 5.882, 7.045 Å; angles 104.55, 109.55, 92.56 degrees
Fractional positions:
H1 0.653 0.351 0.801
H2 0.737 0.691 0.113
H3 0.609 0.417 0.389
H4 0.019 0.266 0.620
Pd1 0.684 0.145 0.250
Pd2 0.520 0.652 0.257
Pd3 0.888 0.544 0.648
Pd4 0.730 0.065 0.653
Pd5 0.280 0.331 0.448
Pd6 0.329 0.288 0.854
Pd7 0.542 0.747 0.870
Pd8 0.920 0.443 0.058
I1 0.217 0.801 0.502
I2 0.122 0.009 0.036

Values from the calculation:
DFT total energy (eV per cell): -57.57
Volume (Å³/f.u.): 96.65
Size of the total moment (Bohr magnetons per cell): 0.0

---

2.
The following is a PBE calculation of a geometry-optimized Tl2FeRh structure, from the Alexandria database.

Cell lengths 4.793, 4.793, 4.793 Å; angles 60.00, 60.00, 60.00 degrees
Each line ends with the local moment (μB).
Fractional positions:
Fe1 0.500 0.500 0.500  3.06
Rh1 0.750 0.750 0.750  0.52
Tl1 0.000 0.000 0.000  0.01
Tl2 0.250 0.250 0.250  0.01

Values from the calculation:
DFT total energy (eV per cell): -18.28
Energy relative to the lowest polymorph listed for this composition (meV/atom): 304
Volume (Å³/f.u.): 77.85
Formation enthalpy at 0 K (meV/atom): 568
Size of the total moment (Bohr magnetons per cell): 3.6

---

3.
The following is a PBE calculation of a geometry-optimized BaY2Cd structure, from the Alexandria database.

Cell lengths 3.958, 5.872, 5.812 Å; angles 90.00, 90.00, 90.00 degrees
Fractional positions:
Ba1 0.500 0.000 0.500
Cd1 0.000 0.500 0.500
Y1 0.000 0.000 0.000
Y2 0.500 0.500 0.000

Values from the calculation:
DFT total energy (eV per cell): -15.43
Volume (Å³/f.u.): 135.07
Formation enthalpy at 0 K (meV/atom): 84
Size of the total moment (Bohr magnetons per cell): 0.0

---

4.
The following is a PBE calculation of a geometry-optimized HoClF structure, from the Alexandria database.

Cell lengths 4.432, 4.433, 6.627 Å; angles 90.38, 96.95, 90.00 degrees
Fractional positions:
F1 0.220 0.748 0.837
F2 0.780 0.252 0.163
Cl1 0.298 0.753 0.266
Cl2 0.702 0.247 0.734
Ho1 0.750 0.750 0.000
Ho2 0.250 0.250 0.000

Values from the calculation:
DFT total energy (eV per cell): -31.32
Energy relative to the lowest polymorph listed for this composition (meV/atom): 181
Volume (Å³/f.u.): 64.62
Size of the total moment (Bohr magnetons per cell): 0.0
Uncorrected formation energy (eV/atom): -2.45

---

5.
The following is a PBE calculation of a geometry-optimized K2SrAuCl structure, from the Alexandria database.

Cell lengths 5.778, 5.923, 5.778 Å; angles 90.00, 90.00, 90.00 degrees
Fractional positions:
Sr1 0.000 0.500 0.000
K1 0.000 0.000 0.500
K2 0.500 0.000 0.000
Au1 0.500 0.500 0.500
Cl1 0.000 0.000 0.000

Values from the calculation:
DFT total energy (eV per cell): -12.29
Volume (Å³/f.u.): 197.76
Size of the total moment (Bohr magnetons per cell): 0.0
Uncorrected formation energy (eV/atom): -0.66

---

6.
The following is a PBE calculation of a geometry-optimized LiTe2Au structure, from the Alexandria database.

Cell lengths 3.629, 3.629, 7.979 Å; angles 90.00, 90.00, 90.00 degrees
Fractional positions:
Au1 0.000 0.000 0.542
Li1 0.500 0.500 0.712
Te1 0.000 0.000 0.886
Te2 0.500 0.500 0.359

Values from the calculation:
DFT total energy (eV per cell): -12.51
Volume (Å³/f.u.): 105.08
Size of the total moment (Bohr magnetons per cell): 0.0
Uncorrected formation energy (eV/atom): -0.26